! PBE KRu2Pb, relaxed; values from VASP
! Space group   Pmmm, No. 47
! M_tot   2.68 μB per formula unit
! DFT total energy   -4.629 eV/atom
! DOS(E_F)   1.2201 states/eV/atom
! Calculated volume   82 Å³/cell
&SYSTEM
  ibrav = 0, nat = 4, ntyp = 3
/
ATOMIC_SPECIES
Ru 101.07 Ru.upf
Pb 207.20 Pb.upf
K 39.10 K.upf
CELL_PARAMETERS angstrom
4.305 0.000 0.000
0.000 4.343 0.000
0.000 0.000 4.376
ATOMIC_POSITIONS crystal
Ru 0.500 0.500 0.000
Ru 0.000 0.000 0.000
Pb 0.000 0.500 0.500
K 0.500 0.000 0.500